Below is crystalline BePBr2 at its relaxed geometry, with properties calculated at the GGA-PBEsol level.

a = 3.2537 Å, b = 3.7590 Å, c = 7.9587 Å
α = 92.98°, β = 90.00°, γ = 115.64°
With the nearest neighbours (Å) after each atom.
Atoms (fractional coordinates):
Br 0.8876 0.7753 0.9035  2 Be 2.27-2.28
Br 0.5863 0.1726 0.3101  1 P 2.19
Be 0.3724 0.7448 0.7033  3 P 2.18-2.37, 2 Br 2.27-2.28
P 0.6537 0.3074 0.5831  3 Be 2.18-2.37, 1 Br 2.19

Summary:
Space group = Cm, No. 8
N(E_F) = 1.12 states/eV/cell
Formation energy without anion corrections = -0.272 eV/atom
Magnetic moment = 0.000 μB per formula unit


Below is crystalline BePBr at its relaxed geometry, with properties calculated at the GGA-PBEsol level.

a = 3.2512 Å, b = 3.2512 Å, c = 5.6134 Å
α = 106.83°, β = 106.83°, γ = 90.00°
With the nearest neighbours (Å) after each atom.
Atoms (fractional coordinates):
Br 0.6722 0.6722 0.3444  1 Be 2.29, 1 P 2.46
P 0.4320 0.4320 0.8640  4 Be 2.33, 1 Br 2.46
Be 0.8958 0.8958 0.7916  1 Br 2.29, 4 P 2.33

Summary:
Space group = I4mm, No. 107
N(E_F) = 1.73 states/eV/cell
Formation energy without anion corrections = 0.233 eV/atom
Magnetic moment = 0.000 μB per formula unit


Below is crystalline BePBr4 at its relaxed geometry, with properties calculated at the GGA-PBEsol level.

a = 6.0444 Å, b = 6.0444 Å, c = 6.0444 Å
α = 60.00°, β = 60.00°, γ = 60.00°
With the nearest neighbours (Å) after each atom.
Atoms (fractional coordinates):
Br 0.3749 0.8753 0.3749  6 Br 3.02
Br 0.8753 0.3749 0.3749  6 Br 3.02
Br 0.3749 0.3749 0.8753  6 Br 3.02
Br 0.3749 0.3749 0.3749  6 Br 3.02
Be 0.0000 0.0000 0.0000  12 Br 3.54, 4 P 3.70
P 0.7500 0.7500 0.7500  12 Br 3.54, 4 Be 3.70

Summary:
Space group = F-43m, No. 216
N(E_F) = 4.03 states/eV/cell
Formation energy without anion corrections = 1.321 eV/atom
Magnetic moment = 1.711 μB per formula unit


Below is crystalline BePBr2 at its relaxed geometry, with properties calculated at the GGA-PBEsol level.

a = 3.0747 Å, b = 3.0747 Å, c = 8.3558 Å
α = 90.00°, β = 90.00°, γ = 90.00°
With the nearest neighbours (Å) after each atom.
Atoms (fractional coordinates):
P 0.5000 0.5000 0.0000  4 P 3.07, 8 Br 3.43
Be 0.5000 0.5000 0.5000  8 Br 2.65
Br 0.0000 0.0000 0.3182  4 Be 2.65
Br 0.0000 0.0000 0.6818  4 Be 2.65

Summary:
Space group = P4/mmm, No. 123
N(E_F) = 2.21 states/eV/cell
Formation energy without anion corrections = 0.660 eV/atom
Magnetic moment = 0.593 μB per formula unit


Below is crystalline BePBr at its relaxed geometry, with properties calculated at the GGA-PBEsol level.

a = 2.5753 Å, b = 3.4129 Å, c = 7.3127 Å
α = 103.49°, β = 100.14°, γ = 90.00°
With the nearest neighbours (Å) after each atom.
Atoms (fractional coordinates):
Br 0.2940 0.2940 0.5881  1 Be 2.19
Be 0.1374 0.1374 0.2749  1 Br 2.19, 4 P 2.35
P 0.5685 0.5685 0.1370  4 Be 2.35, 2 P 2.58

Summary:
Space group = Imm2, No. 44
N(E_F) = 1.00 states/eV/cell
Formation energy without anion corrections = 0.057 eV/atom
Magnetic moment = 0.000 μB per formula unit


Below is crystalline BePBr at its relaxed geometry, with properties calculated at the GGA-PBEsol level.

a = 3.1078 Å, b = 3.1078 Å, c = 6.5184 Å
α = 90.00°, β = 90.00°, γ = 120.00°
With the nearest neighbours (Å) after each atom.
Atoms (fractional coordinates):
P 0.6667 0.3333 0.2448  3 Be 2.48
Br 0.3333 0.6667 0.7724  3 Be 2.26
Be 0.0000 0.0000 0.9828  3 Br 2.26, 3 P 2.48

Summary:
Space group = P3m1, No. 156
N(E_F) = 1.35 states/eV/cell
Formation energy without anion corrections = 0.146 eV/atom
Magnetic moment = 0.000 μB per formula unit


Below is crystalline BePBr at its relaxed geometry, with properties calculated at the GGA-PBEsol level.

a = 4.3091 Å, b = 4.3091 Å, c = 4.3091 Å
α = 60.00°, β = 60.00°, γ = 60.00°
With the nearest neighbours (Å) after each atom.
Atoms (fractional coordinates):
Be 0.0000 0.0000 0.0000  4 P 2.64
P 0.2500 0.2500 0.2500  4 Br 2.64, 4 Be 2.64
Br 0.5000 0.5000 0.5000  4 P 2.64

Summary:
Space group = F-43m, No. 216
N(E_F) = 1.93 states/eV/cell
Formation energy without anion corrections = 0.997 eV/atom
Magnetic moment = 0.000 μB per formula unit


Below is crystalline BeSiP2Br at its relaxed geometry, with properties calculated at the GGA-PBEsol level.

a = 4.4501 Å, b = 4.4501 Å, c = 4.9902 Å
α = 90.00°, β = 90.00°, γ = 90.00°
With the nearest neighbours (Å) after each atom.
Atoms (fractional coordinates):
P 0.0000 0.5000 0.0000  2 Si 2.23
P 0.5000 0.0000 0.0000  2 Si 2.23
Be 0.5000 0.5000 0.5000  4 Br 3.15, 8 P 3.34
Br 0.0000 0.0000 0.5000  2 Si 2.50
Si 0.0000 0.0000 0.0000  4 P 2.23

Summary:
Space group = P4/mmm, No. 123
N(E_F) = 4.47 states/eV/cell
Formation energy without anion corrections = 0.979 eV/atom
Magnetic moment = 0.003 μB per formula unit